Compound: PaNiBO6
Source: Alexandria via LeMat-Bulk
Functional: PBE with a Hubbard U
Structure: optimized geometry

```
PaNiBO6
1.0
4.681 0.000 0.000
-2.341 4.054 0.000
0.000 0.000 4.721
Pa Ni B O
1 1 1 6
Direct
0.000 0.000 0.000
0.333 0.667 0.500
0.667 0.333 0.500
0.381 0.025 0.709
0.381 0.356 0.291
0.644 0.025 0.291
0.644 0.619 0.709
0.975 0.356 0.709
0.975 0.619 0.291
```

Summary:
total DFT energy (no corrections) = -7.227 eV per atom
crystal system = trigonal
calculated density = 7.35 g cm⁻³